# Ca12TlZn6 PBE relaxed
data_Ca12TlZn6
_chemical_formula_sum 'Ca12 Tl1 Zn6'
_cell_length_a 9.087
_cell_length_b 9.087
_cell_length_c 9.087
_cell_angle_alpha 109.47
_cell_angle_beta 109.47
_cell_angle_gamma 109.47
_space_group_name_H-M_alt 'P 1'
_space_group_IT_number 1
_space_group_name_Hall 'P 1'
loop_
_atom_site_label
_atom_site_type_symbol
_atom_site_fract_x
_atom_site_fract_y
_atom_site_fract_z
Ca1 Ca 0.184 0.289 0.474
Zn1 Zn 0.500 0.877 0.377
Zn2 Zn 0.623 0.500 0.123
Ca2 Ca 0.816 0.711 0.526
Ca3 Ca 0.289 0.105 0.816
Ca4 Ca 0.895 0.184 0.711
Zn3 Zn 0.500 0.123 0.623
Ca5 Ca 0.711 0.526 0.816
Ca6 Ca 0.526 0.816 0.711
Ca7 Ca 0.289 0.474 0.184
Zn4 Zn 0.123 0.623 0.500
Zn5 Zn 0.877 0.377 0.500
Ca8 Ca 0.711 0.895 0.184
Ca9 Ca 0.105 0.816 0.289
Ca10 Ca 0.816 0.289 0.105
Tl1 Tl 0.000 0.000 0.000
Ca11 Ca 0.184 0.711 0.895
Ca12 Ca 0.474 0.184 0.289
Zn6 Zn 0.377 0.500 0.877
# calculated volume = 577.5 Å³/f.u.
# space group = Im-3 (204)
# density = 3.099 g/cm³

***

# Ca4Tl5Zn2 PBE relaxed
data_Ca4Tl5Zn2
_chemical_formula_sum 'Ca4 Tl5 Zn2'
_cell_length_a 3.834
_cell_length_b 8.076
_cell_length_c 9.873
_cell_angle_alpha 92.84
_cell_angle_beta 90.00
_cell_angle_gamma 90.00
_space_group_name_H-M_alt 'P 1'
_space_group_IT_number 1
_space_group_name_Hall 'P 1'
loop_
_atom_site_label
_atom_site_type_symbol
_atom_site_fract_x
_atom_site_fract_y
_atom_site_fract_z
Zn1 Zn 0.000 0.063 0.620
Tl1 Tl 0.000 0.500 0.000
Tl2 Tl 0.000 0.430 0.673
Zn2 Zn 0.000 0.937 0.380
Ca1 Ca 0.500 0.253 0.417
Tl3 Tl 0.000 0.570 0.327
Ca2 Ca 0.500 0.810 0.136
Tl4 Tl 0.000 0.852 0.856
Tl5 Tl 0.000 0.148 0.144
Ca3 Ca 0.500 0.190 0.864
Ca4 Ca 0.500 0.747 0.583
# calculated volume = 305.3 Å³/f.u.
# space group = P2/m (10)
# density = 7.142 g/cm³

***

Ordered ΔH_f (0 K) results: -0.196, -0.282; unit eV/atom.
Ordered spin magnetization results: 0.0000, 0.0000; unit μB per atom.